Entry 1:
Entry from Alexandria: a relaxed structure of Nd2Zr3Pt4 (PBE).

Cell lengths 8.082, 7.218, 7.356 Å; angles 90.00, 90.00, 110.61 degrees
Atoms (fractional coordinates):
1 Nd 0.589 0.195 0.331
2 Nd 0.911 0.805 0.831
3 Nd 0.411 0.805 0.669
4 Nd 0.089 0.195 0.169
5 Zr 0.000 0.500 0.500
6 Zr 0.500 0.500 0.000
7 Zr 0.752 0.250 0.852
8 Zr 0.748 0.750 0.352
9 Zr 0.248 0.750 0.148
10 Zr 0.252 0.250 0.648
11 Pt 0.882 0.101 0.553
12 Pt 0.618 0.899 0.053
13 Pt 0.118 0.899 0.447
14 Pt 0.382 0.101 0.947
15 Pt 0.884 0.515 0.142
16 Pt 0.616 0.485 0.642
17 Pt 0.116 0.485 0.858
18 Pt 0.384 0.515 0.358

Properties
Calculated formation energy (eV per atom): -0.9930
Size of the total moment (μB per formula unit): 0.000
SG: P2_1/c, No. 14

---

Entry 2:
Entry from Alexandria: a relaxed structure of Ac6SiSn2 (PBE).

Cell lengths 4.720, 8.933, 8.931 Å; angles 120.01, 90.00, 90.00 degrees
Atoms (fractional coordinates):
1 Ac 0.500 0.589 0.000
2 Ac 0.500 0.410 0.410
3 Ac 0.500 0.000 0.590
4 Ac 0.000 0.244 0.000
5 Ac 0.000 0.756 0.757
6 Ac 0.000 0.000 0.243
7 Si 0.500 0.000 0.000
8 Sn 0.000 0.333 0.666
9 Sn 0.000 0.667 0.334

Properties
ΔE_f (raw) (kcal/mol of atoms): -11.03
Size of the total moment (μB per formula unit): 0.000
SG: Amm2, No. 38

---

Entry 3:
Entry from Alexandria: a relaxed structure of Ho6MgPd (PBE).

Cell lengths 7.090, 7.105, 7.074 Å; angles 59.97, 60.07, 59.95 degrees
Atoms (fractional coordinates):
1 Ho 0.028 0.435 0.756
2 Ho 0.780 0.026 0.756
3 Ho 0.565 0.219 0.244
4 Ho 0.220 0.974 0.244
5 Ho 0.972 0.565 0.244
6 Ho 0.435 0.781 0.756
7 Mg 0.500 0.500 0.500
8 Pd 0.000 0.000 0.000

Properties
Calculated formation energy (eV per atom): 0.0907
Size of the total moment (μB per formula unit): 0.002
SG: P-1, No. 2